First-principles (PBE) data for a relaxed LiPuBeH6 crystal, as listed in Alexandria via LeMat-Bulk.

a b c (Å): 4.2224 4.2224 4.2046
angles (deg): 90.00 90.00 60.00
Closest atoms and distances in Å follow each position.
Atoms (fractional coordinates):
H1 0.4898 0.0204 0.7697  1 Be 1.61, 1 Li 1.72
H2 0.4898 0.0203 0.2303  1 Be 1.61, 1 Li 1.72
H3 0.4898 0.4898 0.2303  1 Be 1.61, 1 Li 1.72
H4 0.4898 0.4898 0.7697  1 Be 1.61, 1 Li 1.72
H5 0.0203 0.4898 0.2303  1 Be 1.61, 1 Li 1.72
H6 0.0203 0.4898 0.7697  1 Be 1.61, 1 Li 1.72
Li1 0.6666 0.6667 0.5000  6 H 1.72
Pu1 0.0000 0.0000 0.0000  12 H 2.32
Be1 0.3333 0.3333 0.5000  6 H 1.61

Computed properties:
Magnetic moment ... 0.57 μB per atom
Uncorrected energy ... -4.5861 eV/atom